Entry 1:
Below is a relaxed structure of PmIn2Ga, with properties calculated at the PBE-GGA level.

Lattice parameters (Å, degrees): 4.524 4.524 4.739 90.00 90.00 90.00
Atoms (fractional coordinates):
Pm1 0.000 0.000 0.000
In1 0.000 0.500 0.500
In2 0.500 0.000 0.500
Ga1 0.500 0.500 0.000

Calculated values
Space-group type: No. 123
Energy of formation from the pure elements in meV/atom: -471
Relative energy among the computed polymorphs in eV/atom: 0.000
Total DFT energy (no corrections) in eV per atom: -3.79

***

Entry 2:
Below is a relaxed structure of Pm2In3Ga, with properties calculated at the PBE-GGA level.

Lattice parameters (Å, degrees): 3.690 4.892 8.448 90.00 90.00 90.00
Atoms (fractional coordinates):
Pm1 0.000 0.000 0.000
Pm2 0.000 0.500 0.482
In1 0.500 0.000 0.647
In2 0.500 0.500 0.163
In3 0.500 0.500 0.823
Ga1 0.500 0.000 0.321

Calculated values
Space-group type: No. 25
Energy of formation from the pure elements in meV/atom: -482
Relative energy among the computed polymorphs in eV/atom: 0.000
Total DFT energy (no corrections) in eV per atom: -3.94

***

Question: The lowest energy of formation from the pure elements belongs to which entry?
Answer: Pm2In3Ga